This record from the Alexandria database describes VSCl2F after structural relaxation. The functional is PBE with a Hubbard U.

Output
- DOS at the Fermi energy: 0.9121 states/eV/atom
- Size of the total moment: 2.04 μB per formula unit
- Theoretical density: 2.85 g/cm³
- Polymorph energy (0 for the lowest one): 0.490 eV/atom

Cell and atoms, written as CIF:
```
data_VSCl2F
_cell_length_a 5.2436
_cell_length_b 5.2436
_cell_length_c 3.6651
_cell_angle_alpha 90.00
_cell_angle_beta 90.00
_cell_angle_gamma 90.00
_space_group_name_H-M_alt 'P 4/m m m'
_space_group_IT_number 123
_space_group_name_Hall '-P 4 2'
loop_
_atom_site_label
_atom_site_type_symbol
_atom_site_fract_x
_atom_site_fract_y
_atom_site_fract_z
V1 V 0.0000 0.0000 0.0000
S1 S 0.5000 0.5000 0.0000
Cl1 Cl 0.0000 0.5000 0.5000
F1 F 0.5000 0.5000 0.5000
```